This record from the Alexandria database describes a relaxed Ti2TcH2 crystal. The functional is PBE.

Computed properties:
- distance to the lowest polymorph of the same formula (meV/atom) = 429
- space group = P4/mbm, No. 127
- crystal system = tetragonal
- spin magnetization (μB/atom) = 0.00

The structure in POSCAR format:
```
Ti2TcH2
1.0
5.892 0.000 0.000
0.000 5.892 0.000
0.000 0.000 3.121
Ti Tc H
4 2 4
Cartesian
1.131 1.815 0.000
1.815 4.760 0.000
4.077 1.131 0.000
4.760 4.077 0.000
0.000 0.000 1.560
2.946 2.946 1.560
0.891 3.836 1.560
2.055 0.891 1.560
3.836 5.001 1.560
5.001 2.055 1.560
```


This record from the Alexandria database describes a relaxed TiTcH2 crystal. The functional is PBE.

Computed properties:
- distance to the lowest polymorph of the same formula (meV/atom) = 437
- space group = Fm-3m, No. 225
- crystal system = cubic
- spin magnetization (μB/atom) = 0.00

The structure in POSCAR format:
```
TiTcH2
1.0
5.233 0.000 0.000
0.000 5.233 0.000
0.000 0.000 5.233
Ti Tc H
4 4 8
Cartesian
0.000 0.000 0.000
0.000 2.617 2.617
2.617 0.000 2.617
2.617 2.617 0.000
0.000 0.000 2.617
0.000 2.617 0.000
2.617 0.000 0.000
2.617 2.617 2.617
1.308 1.308 1.308
1.308 1.308 3.925
1.308 3.925 1.308
1.308 3.925 3.925
3.925 1.308 1.308
3.925 1.308 3.925
3.925 3.925 1.308
3.925 3.925 3.925
```


This record from the Alexandria database describes a relaxed Ti2TcH6 crystal. The functional is PBE.

Computed properties:
- E (eV/atom) = -5.468
- space group = C2/m, No. 12
- crystal system = monoclinic
- spin magnetization (μB/atom) = 0.00

The structure in POSCAR format:
```
Ti2TcH6
1.0
4.933 -2.168 0.000
4.933 2.168 0.000
-0.952 0.000 2.925
Ti Tc H
2 1 6
Cartesian
1.475 0.000 0.486
7.439 0.000 2.439
4.457 0.000 1.462
2.979 1.054 0.975
4.933 1.055 0.000
5.936 1.054 1.950
2.979 -1.054 0.975
4.933 -1.055 0.000
5.936 -1.054 1.950
```


This record from the Alexandria database describes a relaxed Ti2TcH crystal. The functional is PBE.

Computed properties:
- distance to the lowest polymorph of the same formula (meV/atom) = 469
- space group = Fm-3m, No. 225
- crystal system = cubic
- spin magnetization (μB/atom) = 0.00

The structure in POSCAR format:
```
Ti2TcH
1.0
6.005 0.000 0.000
0.000 6.005 0.000
0.000 0.000 6.005
Ti Tc H
8 4 4
Cartesian
1.501 1.501 1.501
1.501 1.501 4.504
1.501 4.504 1.501
1.501 4.504 4.504
4.504 1.501 1.501
4.504 1.501 4.504
4.504 4.504 1.501
4.504 4.504 4.504
0.000 0.000 0.000
0.000 3.002 3.002
3.002 0.000 3.002
3.002 3.002 0.000
0.000 0.000 3.002
0.000 3.002 0.000
3.002 0.000 0.000
3.002 3.002 3.002
```


This record from the Alexandria database describes a relaxed TiTc3H crystal. The functional is PBE.

Computed properties:
- distance to the lowest polymorph of the same formula (meV/atom) = 2208
- space group = Pm-3m, No. 221
- crystal system = cubic
- spin magnetization (μB/atom) = 0.00

The structure in POSCAR format:
```
TiTc3H
1.0
4.519 0.000 0.000
0.000 4.519 0.000
0.000 0.000 4.519
Ti Tc H
1 3 1
Cartesian
0.000 0.000 0.000
0.000 0.000 2.260
0.000 2.260 0.000
2.260 0.000 0.000
2.260 2.260 2.260
```


This record from the Alexandria database describes a relaxed Ti5Tc2H12 crystal. The functional is PBE.

Computed properties:
- E (eV/atom) = -5.533
- space group = C2/m, No. 12
- crystal system = monoclinic
- spin magnetization (μB/atom) = 0.00

The structure in POSCAR format:
```
Ti5Tc2H12
1.0
4.818 -2.629 0.000
4.818 2.629 0.000
-1.497 0.000 5.931
Ti Tc H
5 2 12
Cartesian
0.000 0.000 0.000
1.767 0.000 3.944
2.840 0.000 0.791
5.299 0.000 5.140
6.371 0.000 1.987
4.069 1.375 2.965
4.069 -1.375 2.965
0.148 0.000 1.993
1.904 1.312 5.426
2.410 1.034 2.362
6.235 1.312 0.505
3.660 0.000 4.155
5.729 1.034 3.569
2.410 -1.034 2.362
4.478 0.000 1.776
1.904 -1.312 5.426
5.729 -1.034 3.569
6.235 -1.312 0.505
7.990 0.000 3.938
```


This record from the Alexandria database describes a relaxed TiTc3H crystal. The functional is PBE.

Computed properties:
- distance to the lowest polymorph of the same formula (meV/atom) = 0
- space group = Pm-3m, No. 221
- crystal system = cubic
- spin magnetization (μB/atom) = 0.00

The structure in POSCAR format:
```
TiTc3H
1.0
3.957 0.000 0.000
0.000 3.957 0.000
0.000 0.000 3.957
Ti Tc H
1 3 1
Cartesian
0.000 0.000 0.000
0.000 1.978 1.978
1.978 0.000 1.978
1.978 1.978 0.000
1.978 1.978 1.978
```


This record from the Alexandria database describes a relaxed TiTcH2 crystal. The functional is PBE.

Computed properties:
- distance to the lowest polymorph of the same formula (meV/atom) = 190
- space group = R3m, No. 160
- crystal system = trigonal
- spin magnetization (μB/atom) = 0.00

The structure in POSCAR format:
```
TiTcH2
1.0
2.964 0.000 0.000
-1.482 2.567 0.000
0.000 0.000 14.058
Ti Tc H
3 3 6
Cartesian
0.000 0.000 0.000
0.000 1.711 9.372
1.482 0.856 4.686
0.000 0.000 11.536
0.000 1.711 6.850
1.482 0.856 2.164
0.000 0.000 5.951
0.000 0.000 8.226
0.000 1.711 1.265
0.000 1.711 3.540
1.482 0.856 10.637
1.482 0.856 12.912
```


This record from the Alexandria database describes a relaxed Ti2TcH2 crystal. The functional is PBE.

Computed properties:
- distance to the lowest polymorph of the same formula (meV/atom) = 201
- space group = P4/mmm, No. 123
- crystal system = tetragonal
- spin magnetization (μB/atom) = 0.00

The structure in POSCAR format:
```
Ti2TcH2
1.0
3.043 0.000 0.000
0.000 3.043 0.000
0.000 0.000 5.886
Ti Tc H
2 1 2
Cartesian
0.000 0.000 1.407
0.000 0.000 4.479
1.522 1.522 2.943
0.000 1.522 0.000
1.522 0.000 0.000
```


This record from the Alexandria database describes a relaxed TiTcH3 crystal. The functional is PBE.

Computed properties:
- distance to the lowest polymorph of the same formula (meV/atom) = 240
- space group = Pm-3m, No. 221
- crystal system = cubic
- spin magnetization (μB/atom) = 0.00

The structure in POSCAR format:
```
TiTcH3
1.0
3.399 0.000 0.000
0.000 3.399 0.000
0.000 0.000 3.399
Ti Tc H
1 1 3
Cartesian
0.000 0.000 0.000
1.700 1.700 1.700
0.000 0.000 1.700
0.000 1.700 0.000
1.700 0.000 0.000
```


This record from the Alexandria database describes a relaxed Ti2TcH crystal. The functional is PBE.

Computed properties:
- distance to the lowest polymorph of the same formula (meV/atom) = 0
- space group = R-3m, No. 166
- crystal system = trigonal
- spin magnetization (μB/atom) = 0.00

The structure in POSCAR format:
```
Ti2TcH
1.0
3.024 0.000 0.000
-1.512 2.619 0.000
0.000 0.000 18.860
Ti Tc H
6 3 3
Cartesian
0.000 0.000 4.380
0.000 0.000 14.480
0.000 1.746 8.193
0.000 1.746 16.953
1.512 0.873 1.907
1.512 0.873 10.666
0.000 0.000 0.000
0.000 1.746 12.573
1.512 0.873 6.287
0.000 0.000 9.430
0.000 1.746 3.143
1.512 0.873 15.717
```


This record from the Alexandria database describes a relaxed Ti4TcH10 crystal. The functional is PBE.

Computed properties:
- E (eV/atom) = -5.433
- space group = I4/m, No. 87
- crystal system = tetragonal
- spin magnetization (μB/atom) = 0.00

The structure in POSCAR format:
```
Ti4TcH10
1.0
-3.467 3.467 2.189
3.467 -3.467 2.189
3.467 3.467 -2.189
Ti Tc H
4 1 10
Cartesian
4.870 0.718 0.000
0.718 2.063 0.000
2.749 1.403 2.189
-1.403 2.749 2.189
0.000 0.000 2.189
4.140 2.093 -1.082
2.093 2.793 -1.082
3.467 0.000 1.094
1.374 0.674 1.107
-0.674 1.374 1.107
4.140 2.093 1.082
2.093 2.793 1.082
0.000 3.467 1.094
1.374 0.674 3.271
-0.674 1.374 3.271
```


This record from the Alexandria database describes a relaxed Ti2VTcH crystal. The functional is PBE.

Computed properties:
- E (eV/atom) = -7.958
- space group = P4/mmm, No. 123
- crystal system = tetragonal
- spin magnetization (μB/atom) = 0.00

The structure in POSCAR format:
```
Ti2VTcH
1.0
4.317 0.000 0.000
0.000 4.317 0.000
0.000 0.000 3.344
Ti V Tc H
2 1 1 1
Cartesian
0.000 2.158 0.000
2.158 0.000 0.000
0.000 0.000 1.672
2.158 2.158 1.672
0.000 0.000 0.000
```


This record from the Alexandria database describes a relaxed Ti2ZnTcH crystal. The functional is PBE.

Computed properties:
- distance to the lowest polymorph of the same formula (meV/atom) = 61
- space group = P4/mmm, No. 123
- crystal system = tetragonal
- spin magnetization (μB/atom) = 0.00

The structure in POSCAR format:
```
Ti2ZnTcH
1.0
4.230 0.000 0.000
0.000 4.230 0.000
0.000 0.000 3.498
Ti Zn Tc H
2 1 1 1
Cartesian
0.000 2.115 0.000
2.115 0.000 0.000
0.000 0.000 1.749
2.115 2.115 1.749
0.000 0.000 0.000
```


This record from the Alexandria database describes a relaxed Ti2ZnTcH crystal. The functional is PBE.

Computed properties:
- distance to the lowest polymorph of the same formula (meV/atom) = 0
- space group = P4/mmm, No. 123
- crystal system = tetragonal
- spin magnetization (μB/atom) = 0.00

The structure in POSCAR format:
```
Ti2ZnTcH
1.0
4.191 0.000 0.000
0.000 4.191 0.000
0.000 0.000 3.612
Ti Zn Tc H
2 1 1 1
Cartesian
0.000 2.096 0.000
2.096 0.000 0.000
0.000 0.000 1.806
2.096 2.096 1.806
2.096 2.096 0.000
```


This record from the Alexandria database describes a relaxed Zr2TiTcH crystal. The functional is PBE.

Computed properties:
- E (eV/atom) = -7.932
- space group = P4/mmm, No. 123
- crystal system = tetragonal
- spin magnetization (μB/atom) = 0.01

The structure in POSCAR format:
```
Zr2TiTcH
1.0
4.643 0.000 0.000
0.000 4.643 0.000
0.000 0.000 3.585
Zr Ti Tc H
2 1 1 1
Cartesian
0.000 2.322 0.000
2.322 0.000 0.000
0.000 0.000 1.792
2.322 2.322 1.792
0.000 0.000 0.000
```


This record from the Alexandria database describes a relaxed ZrTi2TcH crystal. The functional is PBE.

Computed properties:
- E (eV/atom) = -7.778
- space group = P4/mmm, No. 123
- crystal system = tetragonal
- spin magnetization (μB/atom) = 0.00

The structure in POSCAR format:
```
ZrTi2TcH
1.0
3.877 0.000 0.000
0.000 3.877 0.000
0.000 0.000 4.795
Zr Ti Tc H
1 2 1 1
Cartesian
0.000 0.000 0.000
0.000 1.939 2.398
1.939 0.000 2.398
1.939 1.939 0.000
0.000 0.000 2.398
```


This record from the Alexandria database describes a relaxed Tl3TcH crystal. The functional is PBE.

Computed properties:
- distance to the lowest polymorph of the same formula (meV/atom) = 0
- space group = Pm-3m, No. 221
- crystal system = cubic
- spin magnetization (μB/atom) = 0.25

The structure in POSCAR format:
```
Tl3TcH
1.0
5.337 0.000 0.000
0.000 5.337 0.000
0.000 0.000 5.337
Tl Tc H
3 1 1
Cartesian
0.000 0.000 2.669
0.000 2.669 0.000
2.669 0.000 0.000
0.000 0.000 0.000
2.669 2.669 2.669
```


This record from the Alexandria database describes a relaxed TlTcH3 crystal. The functional is PBE.

Computed properties:
- distance to the lowest polymorph of the same formula (meV/atom) = 1006
- space group = Pm-3m, No. 221
- crystal system = cubic
- spin magnetization (μB/atom) = 0.71

The structure in POSCAR format:
```
TlTcH3
1.0
3.966 0.000 0.000
0.000 3.966 0.000
0.000 0.000 3.966
Tl Tc H
1 1 3
Cartesian
0.000 0.000 0.000
1.983 1.983 1.983
0.000 0.000 1.983
0.000 1.983 0.000
1.983 0.000 0.000
```


This record from the Alexandria database describes a relaxed Tl3TcH crystal. The functional is PBE.

Computed properties:
- distance to the lowest polymorph of the same formula (meV/atom) = 20
- space group = Pm-3m, No. 221
- crystal system = cubic
- spin magnetization (μB/atom) = 0.57

The structure in POSCAR format:
```
Tl3TcH
1.0
4.692 0.000 0.000
0.000 4.692 0.000
0.000 0.000 4.692
Tl Tc H
3 1 1
Cartesian
0.000 0.000 2.346
0.000 2.346 0.000
2.346 0.000 0.000
2.346 2.346 2.346
0.000 0.000 0.000
```